[1]
Compound: Ag2Pb2S
Source: the Alexandria database
Functional: PBE
Structure: relaxed

## Properties
D(E_F) in states/eV per cell: 3.919
Calculated volume in Å³/atom: 25.44
Formation energy without anion corrections in meV/atom: 148

a = 7.9262 Å, b = 7.9262 Å, c = 4.0495 Å
α = 90.00°, β = 90.00°, γ = 90.00°
Closest atoms and distances in Å follow each position.
Space group P4/mbm (No. 127)
Inequivalent atoms, fractional coordinates:
Ag1 0.1225 0.3775 0.0000 (multiplicity 4)  1 Ag 2.75, 2 Pb 2.98
Pb1 0.1824 0.6824 0.5000 (multiplicity 4)  2 S 2.90, 6 Ag 2.98-3.19
S1 0.0000 0.0000 0.5000 (multiplicity 2)  4 Pb 2.90



[2]
Compound: ZrBeCr2
Source: the Alexandria database
Functional: PBE
Structure: relaxed

## Properties
D(E_F) in states/eV per cell: 4.180
Energy of formation from the pure elements in eV per atom: 0.21
Calculated volume in Å³/atom: 14.12

a = 4.2830 Å, b = 4.3313 Å, c = 6.0902 Å
α = 90.00°, β = 90.00°, γ = 90.00°
Closest atoms and distances in Å follow each position.
Space group Imm2 (No. 44)
Inequivalent atoms, fractional coordinates:
Zr1 0.0000 0.0000 0.0000 (multiplicity 2)  4 Cr 2.64, 4 Be 2.64
Be1 0.0000 0.5000 0.2476 (multiplicity 2)  4 Cr 2.62-2.65, 4 Zr 2.64
Cr1 0.0000 0.0000 0.4986 (multiplicity 2)  4 Cr 2.61-2.66, 4 Be 2.62-2.65
Cr2 0.0000 0.5000 0.7535 (multiplicity 2)  4 Cr 2.61-2.66, 4 Zr 2.64



[3]
Compound: CeNdDy2S4
Source: the Alexandria database
Functional: PBE
Structure: relaxed

## Properties
D(E_F) in states/eV per cell: 7.558
Calculated volume in Å³/atom: 22.23
Formation energy without anion corrections in meV/atom: -2023

a = 6.8568 Å, b = 3.9469 Å, c = 6.9539 Å
α = 90.00°, β = 109.10°, γ = 90.00°
Closest atoms and distances in Å follow each position.
Space group P2/m (No. 10)
Inequivalent atoms, fractional coordinates:
Ce1 0.0000 0.0000 0.0000 (multiplicity 1)  6 S 2.86
Nd1 0.5000 0.5000 0.0000 (multiplicity 1)  6 S 2.87
Dy1 0.0000 0.5000 0.5000 (multiplicity 1)  6 S 2.75-2.76
Dy2 0.5000 0.0000 0.5000 (multiplicity 1)  6 S 2.77
S1 0.2436 0.0000 0.7362 (multiplicity 2)  3 Dy 2.75-2.77, 1 Ce 2.86, 2 Nd 2.87
S2 0.2528 0.5000 0.2627 (multiplicity 2)  3 Dy 2.76-2.77, 2 Ce 2.86, 1 Nd 2.87



[4]
Compound: DyNiAs2Rh5
Source: the Alexandria database
Functional: PBE
Structure: relaxed

## Properties
D(E_F) in states/eV per cell: 9.313
Energy of formation from the pure elements in eV per atom: -0.14
Calculated volume in Å³/atom: 18.48

a = 3.9098 Å, b = 3.9098 Å, c = 10.8796 Å
α = 90.00°, β = 90.00°, γ = 90.00°
Closest atoms and distances in Å follow each position.
Space group P4/mmm (No. 123)
Inequivalent atoms, fractional coordinates:
Dy1 0.0000 0.0000 0.0000 (multiplicity 1)  4 Rh 2.76
Ni1 0.5000 0.5000 0.5000 (multiplicity 1)  8 Rh 2.49
As1 0.5000 0.5000 0.2198 (multiplicity 2)  5 Rh 2.39-2.46
Rh1 0.0000 0.5000 0.3576 (multiplicity 4)  2 As 2.46, 2 Ni 2.49
Rh2 0.5000 0.5000 0.0000 (multiplicity 1)  2 As 2.39



[5]
Compound: SrSn3C
Source: the Alexandria database
Functional: PBE
Structure: relaxed

## Properties
D(E_F) in states/eV per cell: 4.492
Energy of formation from the pure elements in eV per atom: 0.55
Calculated volume in Å³/atom: 25.13

a = 5.0087 Å, b = 5.0087 Å, c = 5.0087 Å
α = 90.00°, β = 90.00°, γ = 90.00°
Closest atoms and distances in Å follow each position.
Space group Pm-3m (No. 221)
Inequivalent atoms, fractional coordinates:
Sr1 0.0000 0.0000 0.0000 (multiplicity 1)  12 Sn 3.54
Sn1 0.0000 0.5000 0.5000 (multiplicity 3)  2 C 2.50
C1 0.5000 0.5000 0.5000 (multiplicity 1)  6 Sn 2.50



[6]
Compound: Zn2NiRu
Source: the Alexandria database
Functional: PBE
Structure: relaxed

## Properties
D(E_F) in states/eV per cell: 10.628
Energy of formation from the pure elements in eV per atom: -0.02
Calculated volume in Å³/atom: 13.26

a = 2.7074 Å, b = 2.7074 Å, c = 25.0690 Å
α = 90.00°, β = 90.00°, γ = 120.00°
Closest atoms and distances in Å follow each position.
Space group R3m (No. 160, hexagonal axes)
Inequivalent atoms, fractional coordinates:
Zn1 0.0000 0.0000 0.0000 (multiplicity 3)  3 Ni 2.53, 3 Ru 2.69, 6 Zn 2.71
Zn2 0.0000 0.0000 0.1744 (multiplicity 3)  3 Ni 2.53, 3 Ru 2.69, 6 Zn 2.71
Ni1 0.0000 0.0000 0.5872 (multiplicity 3)  6 Zn 2.53, 6 Ni 2.71
Ru1 0.0000 0.0000 0.7539 (multiplicity 3)  6 Zn 2.69, 6 Ru 2.71



[7]
Compound: SiNi
Source: the Alexandria database
Functional: PBE
Structure: relaxed

## Properties
D(E_F) in states/eV per cell: 17.008
Calculated volume in Å³/atom: 13.82
Formation energy without anion corrections in meV/atom: -81

a = 3.0438 Å, b = 11.0677 Å, c = 13.1309 Å
α = 90.00°, β = 90.00°, γ = 90.00°
Closest atoms and distances in Å follow each position.
Space group Fddd (No. 70, origin choice 2)
Inequivalent atoms, fractional coordinates:
Si1 0.1250 0.2876 0.1250 (multiplicity 16)  4 Ni 2.25-2.29, 2 Si 2.46
Ni1 0.1250 0.1250 0.0218 (multiplicity 16)  4 Si 2.25-2.29



[8]
Compound: KAgSCl2
Source: the Alexandria database
Functional: PBE
Structure: relaxed

## Properties
D(E_F) in states/eV per cell: 4.560
Calculated volume in Å³/atom: 37.86
Formation energy without anion corrections in meV/atom: 200

a = 5.7656 Å, b = 5.7656 Å, c = 5.6947 Å
α = 90.00°, β = 90.00°, γ = 90.00°
Closest atoms and distances in Å follow each position.
Space group P4/mmm (No. 123)
Inequivalent atoms, fractional coordinates:
K1 0.0000 0.0000 0.0000 (multiplicity 1)  2 S 2.85, 4 Cl 2.88
Ag1 0.5000 0.5000 0.5000 (multiplicity 1)  8 Cl 4.05, 4 S 4.08
S1 0.0000 0.0000 0.5000 (multiplicity 1)  2 K 2.85
Cl1 0.0000 0.5000 0.0000 (multiplicity 2)  2 K 2.88